LiInS2: optimized geometry, PBE.

Summary:
Theoretical density = 3.14 g/cm3
Crystal system = monoclinic
N(E_F) = 0.0 states/eV/cell
Energy = -4.139 eV/atom
Space group = P2/m (10)
Total magnetization = 0.0 μB per formula unit
Uncorrected formation energy = -0.9126 eV per atom

Lattice parameters (Å, degrees): 6.9759 4.0158 7.0232 90.00 91.12 90.00
With the nearest neighbours (Å) after each atom.
Sites, in units of the cell vectors:
1 Li 0.1727 0.0000 0.1792  4 S 2.41-2.51
2 Li 0.8273 0.0000 0.8208  4 S 2.41-2.51
3 In 0.3312 0.5000 0.6738  4 S 2.49-2.51
4 In 0.6688 0.5000 0.3262  4 S 2.49-2.51
5 S 0.1860 0.0000 0.8225  2 In 2.49, 2 Li 2.50-2.51
6 S 0.3088 0.5000 0.3165  2 Li 2.41, 2 In 2.51
7 S 0.6912 0.5000 0.6835  2 Li 2.41, 2 In 2.51
8 S 0.8140 0.0000 0.1775  2 In 2.49, 2 Li 2.50-2.51



LiY3Er4S8: optimized geometry, PBE.

Summary:
Theoretical density = 6.04 g/cm3
Crystal system = trigonal
N(E_F) = 7.9 states/eV/cell
Energy = -6.485 eV/atom
Space group = R-3m (166)
Total magnetization = 0.0 μB per formula unit
Uncorrected formation energy = -1.9488 eV per atom

Lattice parameters (Å, degrees): 7.7514 7.7514 7.7514 60.02 60.02 60.02
With the nearest neighbours (Å) after each atom.
Sites, in units of the cell vectors:
1 Li 0.0000 0.0000 0.0000  6 S 2.70
2 Y 0.0000 0.5000 0.5000  6 S 2.76
3 Y 0.5000 0.0000 0.5000  6 S 2.76
4 Y 0.5000 0.5000 0.0000  6 S 2.76
5 Er 0.0000 0.0000 0.5000  6 S 2.72
6 Er 0.0000 0.5000 0.0000  6 S 2.72
7 Er 0.5000 0.0000 0.0000  6 S 2.72
8 Er 0.5000 0.5000 0.5000  6 S 2.78
9 S 0.2432 0.7535 0.7535  1 Li 2.70, 3 Er 2.72-2.78, 2 Y 2.76
10 S 0.2465 0.2465 0.7568  1 Li 2.70, 3 Er 2.72-2.78, 2 Y 2.76
11 S 0.2465 0.7568 0.2465  1 Li 2.70, 3 Er 2.72-2.78, 2 Y 2.76
12 S 0.2484 0.2484 0.2484  3 Er 2.72, 3 Y 2.76
13 S 0.7516 0.7516 0.7516  3 Er 2.72, 3 Y 2.76
14 S 0.7535 0.2432 0.7535  1 Li 2.70, 3 Er 2.72-2.78, 2 Y 2.76
15 S 0.7535 0.7535 0.2432  1 Li 2.70, 3 Er 2.72-2.78, 2 Y 2.76
16 S 0.7568 0.2465 0.2465  1 Li 2.70, 3 Er 2.72-2.78, 2 Y 2.76



Pm6Ag5Pt: optimized geometry, PBE.

Summary:
Theoretical density = 8.75 g/cm3
Crystal system = monoclinic
N(E_F) = 9.0 states/eV/cell
Energy = -4.485 eV/atom
Space group = C2/m (12)
Total magnetization = 0.0 μB per formula unit
ΔE_f = -0.418 eV per atom

Lattice parameters (Å, degrees): 9.0589 9.0589 5.2275 106.71 106.71 48.40
With the nearest neighbours (Å) after each atom.
Sites, in units of the cell vectors:
1 Pm 0.0822 0.5977 0.3397  1 Pt 3.09, 7 Ag 3.16-3.25
2 Pm 0.2370 0.7630 0.0000  2 Pt 3.15, 6 Ag 3.26-3.32, 1 Pm 3.52
3 Pm 0.4023 0.9178 0.6603  1 Pt 3.09, 7 Ag 3.16-3.25
4 Pm 0.5977 0.0822 0.3397  1 Pt 3.09, 7 Ag 3.16-3.25
5 Pm 0.7630 0.2370 0.0000  2 Pt 3.15, 6 Ag 3.26-3.32, 1 Pm 3.52
6 Pm 0.9178 0.4023 0.6603  1 Pt 3.09, 7 Ag 3.16-3.25
7 Ag 0.1792 0.1792 0.1793  8 Pm 3.16-3.32
8 Ag 0.3326 0.3326 0.8324  8 Pm 3.24-3.27, 2 Ag 3.55
9 Ag 0.5000 0.5000 0.5000  8 Pm 3.16-3.26
10 Ag 0.6674 0.6674 0.1676  8 Pm 3.24-3.27, 2 Ag 3.55
11 Ag 0.8208 0.8208 0.8207  8 Pm 3.16-3.32
12 Pt 0.0000 0.0000 0.5000  8 Pm 3.09-3.15



Mg6ZrSc2: optimized geometry, PBE.

Summary:
Theoretical density = 2.63 g/cm3
Crystal system = hexagonal
N(E_F) = 9.2 states/eV/cell
Energy = -3.402 eV/atom
Space group = P6/mmm (191)
Total magnetization = 0.0 μB per formula unit
ΔE_f = 0.018 eV per atom

Lattice parameters (Å, degrees): 8.7387 8.7387 3.1204 90.00 90.00 120.00
With the nearest neighbours (Å) after each atom.
Sites, in units of the cell vectors:
1 Mg 0.0000 0.3325 0.0000  5 Mg 2.91-3.12
2 Mg 0.0000 0.6675 0.0000  5 Mg 2.91-3.12
3 Mg 0.3325 0.0000 0.0000  5 Mg 2.91-3.12
4 Mg 0.3325 0.3325 0.0000  5 Mg 2.91-3.12
5 Mg 0.6675 0.0000 0.0000  5 Mg 2.91-3.12
6 Mg 0.6675 0.6675 0.0000  5 Mg 2.91-3.12
7 Zr 0.0000 0.0000 0.5000  2 Zr 3.12, 12 Mg 3.30
8 Sc 0.3333 0.6667 0.5000  2 Sc 3.12, 12 Mg 3.31
9 Sc 0.6667 0.3333 0.5000  2 Sc 3.12, 12 Mg 3.31



ThNiSn3: optimized geometry, PBE.

Summary:
Theoretical density = 8.92 g/cm3
Crystal system = monoclinic
N(E_F) = 5.9 states/eV/cell
Energy = -5.306 eV/atom
Space group = C2/m (12)
Total magnetization = 0.0 μB per formula unit
ΔE_f = -0.264 eV per atom

Lattice parameters (Å, degrees): 10.5812 10.5812 4.9737 103.59 103.59 26.46
With the nearest neighbours (Å) after each atom.
Sites, in units of the cell vectors:
1 Th 0.0837 0.0837 0.3331  10 Sn 3.37-3.60
2 Th 0.9163 0.9163 0.6669  10 Sn 3.37-3.60
3 Ni 0.3385 0.3385 0.0883  5 Sn 2.48-2.61
4 Ni 0.6615 0.6615 0.9117  5 Sn 2.48-2.61
5 Sn 0.1992 0.1992 0.9490  3 Ni 2.54-2.79
6 Sn 0.2993 0.2993 0.5492  2 Ni 2.61
7 Sn 0.4628 0.4628 0.2127  1 Ni 2.48
8 Sn 0.5372 0.5372 0.7873  1 Ni 2.48
9 Sn 0.7007 0.7007 0.4508  2 Ni 2.61
10 Sn 0.8008 0.8008 0.0510  3 Ni 2.54-2.79



MgCu2: optimized geometry, PBE.

Summary:
Theoretical density = 5.94 g/cm3
Crystal system = orthorhombic
N(E_F) = 1.1 states/eV/cell
Energy = -3.325 eV/atom
Space group = Cmmm (65)
Total magnetization = 0.0 μB per formula unit
ΔE_f = -0.063 eV per atom

Lattice parameters (Å, degrees): 6.0472 6.0472 3.7869 90.00 90.00 142.32
With the nearest neighbours (Å) after each atom.
Sites, in units of the cell vectors:
1 Mg 0.1593 0.8407 0.0000  10 Cu 2.63-2.82, 2 Mg 2.85
2 Mg 0.8407 0.1593 0.0000  10 Cu 2.63-2.82, 2 Mg 2.85
3 Cu 0.0000 0.0000 0.5000  4 Mg 2.63, 8 Cu 2.67-2.72
4 Cu 0.3414 0.6586 0.5000  6 Cu 2.62-2.86, 6 Mg 2.72-2.82
5 Cu 0.5000 0.5000 0.0000  8 Cu 2.62-2.72, 4 Mg 2.67
6 Cu 0.6586 0.3414 0.5000  6 Cu 2.62-2.86, 6 Mg 2.72-2.82



K2BiPb2: optimized geometry, PBE.

Summary:
Theoretical density = 5.84 g/cm3
Crystal system = monoclinic
N(E_F) = 3.6 states/eV/cell
Energy = -2.897 eV/atom
Space group = C2/m (12)
Total magnetization = 0.0 μB per formula unit
ΔE_f = -0.198 eV per atom
Excess energy over the best structure of this formula in the dataset = 0.0000 eV/atom

Lattice parameters (Å, degrees): 6.9206 6.9206 12.3427 114.55 114.55 49.36
With the nearest neighbours (Å) after each atom.
Sites, in units of the cell vectors:
1 K 0.0044 0.0044 0.1803  3 Bi 3.72-3.87, 7 Pb 3.88-4.05, 1 K 4.15
2 K 0.1803 0.1803 0.6140  6 Pb 3.59-3.96, 2 Bi 3.88
3 K 0.8197 0.8197 0.3860  6 Pb 3.59-3.96, 2 Bi 3.88
4 K 0.9956 0.9956 0.8197  3 Bi 3.72-3.87, 7 Pb 3.88-4.05, 1 K 4.15
5 Bi 0.2936 0.2936 0.1658  4 Pb 3.16-3.35
6 Bi 0.7064 0.7064 0.8342  4 Pb 3.16-3.35
7 Pb 0.3517 0.3517 0.9426  3 Bi 3.16-3.35, 1 Pb 3.33
8 Pb 0.4568 0.4568 0.5945  1 Pb 2.99, 1 Bi 3.18
9 Pb 0.5432 0.5432 0.4055  1 Pb 2.99, 1 Bi 3.18
10 Pb 0.6483 0.6483 0.0574  3 Bi 3.16-3.35, 1 Pb 3.33



SrTl2HgPd: optimized geometry, PBE.

Summary:
Theoretical density = 8.73 g/cm3
Crystal system = tetragonal
N(E_F) = 3.4 states/eV/cell
Energy = -2.570 eV/atom
Space group = P4/mmm (123)
Total magnetization = 0.0 μB per formula unit
ΔE_f = -0.188 eV per atom
Excess energy over the best structure of this formula in the dataset = 0.0595 eV/atom

Lattice parameters (Å, degrees): 5.3421 5.3421 5.3536 90.00 90.00 90.00
With the nearest neighbours (Å) after each atom.
Sites, in units of the cell vectors:
1 Sr 0.0000 0.0000 0.0000  4 Hg 3.78, 8 Tl 3.78
2 Tl 0.0000 0.5000 0.5000  2 Pd 2.67
3 Tl 0.5000 0.0000 0.5000  2 Pd 2.67
4 Hg 0.5000 0.5000 0.0000  2 Pd 2.68
5 Pd 0.5000 0.5000 0.5000  4 Tl 2.67, 2 Hg 2.68